Entry 1:
Here is a geometry-optimized Li2AlAuBr structure from Alexandria via LeMat-Bulk. Energies are from PBE.

a b c (Å): 5.4770 5.4770 4.9769
angles (deg): 90.00 90.00 90.00
With the nearest neighbours (Å) after each atom.
Space group P4/mmm (No. 123)
Symmetry-distinct sites (fractional):
Li: 0.0000 0.5000 0.0000 (multiplicity 2)  2 Al 2.74
Al: 0.0000 0.0000 0.0000 (multiplicity 1)  2 Br 2.49, 4 Li 2.74
Au: 0.5000 0.5000 0.5000 (multiplicity 1)  8 Li 3.70, 4 Br 3.87
Br: 0.0000 0.0000 0.5000 (multiplicity 1)  2 Al 2.49

Summary:
The crystal system is tetragonal. Its energy relative to the elements, uncorrected is 0.297 eV per atom.

Entry 2:
Here is a geometry-optimized Pu2MnFeSi6 structure from Alexandria via LeMat-Bulk. Energies are from PBE.

a b c (Å): 5.7500 5.7500 34.2189
angles (deg): 90.00 90.00 120.00
With the nearest neighbours (Å) after each atom.
Space group R-3m (No. 166, hexagonal axes)
Symmetry-distinct sites (fractional):
Pu: 0.0000 0.0000 0.1280 (multiplicity 6)  12 Si 2.89-3.01
Pu: 0.0000 0.0000 0.2892 (multiplicity 6)  9 Si 2.90-3.17
Mn: 0.0000 0.0000 0.4218 (multiplicity 6)  6 Si 2.27-2.34
Fe: 0.0000 0.0000 0.0000 (multiplicity 3)  6 Si 2.27
Fe: 0.0000 0.0000 0.5000 (multiplicity 3)  6 Si 2.35
Si: 0.0476 0.5238 0.7184 (multiplicity 18)  1 Fe 2.27, 1 Mn 2.27, 2 Si 2.46
Si: 0.0538 0.5269 0.8728 (multiplicity 18)  1 Mn 2.34, 1 Fe 2.35, 2 Si 2.41

Summary:
The crystal system is trigonal. Its energy relative to the elements, uncorrected is -0.355 eV per atom.

Entry 3:
Here is a geometry-optimized CsBeSnO4 structure from Alexandria via LeMat-Bulk. Energies are from PBE.

a b c (Å): 5.3234 5.5956 7.4336
angles (deg): 90.00 96.37 90.00
With the nearest neighbours (Å) after each atom.
Space group P2_1/m (No. 11)
Symmetry-distinct sites (fractional):
Cs: 0.2487 0.2500 0.0910 (multiplicity 2)  3 O 2.80-3.11
Be: 0.3223 0.2500 0.6474 (multiplicity 2)  4 O 1.62-1.66
Sn: 0.1709 0.7500 0.4759 (multiplicity 2)  6 O 2.06-2.18
O: 0.1227 0.0245 0.6640 (multiplicity 4)  1 Be 1.66
O: 0.3894 0.7500 0.2541 (multiplicity 2)  1 Be 1.63
O: 0.4430 0.2500 0.4574 (multiplicity 2)  1 Be 1.62

Summary:
The crystal system is monoclinic. Its energy relative to the elements, uncorrected is -1.625 eV per atom.

Entry 4:
Here is a geometry-optimized Cr2Rh structure from Alexandria via LeMat-Bulk. Energies are from PBE.

a b c (Å): 4.2097 4.2097 5.3332
angles (deg): 90.00 90.00 120.00
With the nearest neighbours (Å) after each atom.
Space group P6_3/mmc (No. 194)
Symmetry-distinct sites (fractional):
Cr: 0.0000 0.0000 0.0000 (multiplicity 2)  8 Cr 2.67-2.77, 6 Rh 2.77
Cr: 0.3333 0.6667 0.2500 (multiplicity 2)  5 Rh 2.43-2.67
Rh: 0.3333 0.6667 0.7500 (multiplicity 2)  5 Cr 2.43-2.67

Summary:
The energy of formation from the pure elements is 0.131 eV per atom. The crystal system is hexagonal.

Entry 5:
Here is a geometry-optimized CaPt2Cl structure from Alexandria via LeMat-Bulk. Energies are from PBE.

a b c (Å): 3.1590 3.1590 26.4363
angles (deg): 90.00 90.00 120.00
With the nearest neighbours (Å) after each atom.
Space group R-3m (No. 166, hexagonal axes)
Symmetry-distinct sites (fractional):
Ca: 0.0000 0.0000 0.0000 (multiplicity 3)  6 Pt 2.92, 6 Ca 3.16
Pt: 0.0000 0.0000 0.2472 (multiplicity 6)  3 Cl 2.80, 3 Ca 2.92
Cl: 0.0000 0.0000 0.5000 (multiplicity 3)  6 Pt 2.80

Summary:
The crystal system is trigonal. Its energy relative to the elements, uncorrected is 0.012 eV per atom.

Entry 6:
Here is a geometry-optimized TbLuSiAg structure from Alexandria via LeMat-Bulk. Energies are from PBE.

a b c (Å): 7.0818 7.0818 7.0818
angles (deg): 90.00 90.00 90.00
With the nearest neighbours (Å) after each atom.
Space group F-43m (No. 216)
Symmetry-distinct sites (fractional):
Tb: 0.0000 0.0000 0.0000 (multiplicity 4)  4 Ag 3.07, 4 Si 3.07
Lu: 0.0000 0.0000 0.5000 (multiplicity 4)  4 Si 3.07, 4 Ag 3.07
Si: 0.2500 0.2500 0.7500 (multiplicity 4)  4 Tb 3.07, 4 Lu 3.07
Ag: 0.2500 0.2500 0.2500 (multiplicity 4)  4 Tb 3.07, 4 Lu 3.07

Summary:
The crystal system is cubic. Its energy relative to the elements, uncorrected is -0.428 eV per atom.

Entry 7:
Here is a geometry-optimized LaMg5Hg2 structure from Alexandria via LeMat-Bulk. Energies are from PBE.

a b c (Å): 4.2352 8.5504 10.9297
angles (deg): 90.00 90.00 90.00
With the nearest neighbours (Å) after each atom.
Space group Immm (No. 71)
Symmetry-distinct sites (fractional):
La: 0.0000 0.0000 0.0000 (multiplicity 2)  4 Hg 3.33
Mg: 0.0000 0.1901 0.3531 (multiplicity 8)  3 Hg 2.82-2.96, 2 Mg 3.12
Mg: 0.0000 0.5000 0.0000 (multiplicity 2)  2 Hg 2.89, 8 Mg 3.12
Hg: 0.0000 0.5000 0.2645 (multiplicity 4)  7 Mg 2.82-2.96

Summary:
The energy of formation from the pure elements is -0.254 eV per atom. The crystal system is orthorhombic.

Entry 8:
Here is a geometry-optimized Be4MoRh5 structure from Alexandria via LeMat-Bulk. Energies are from PBE.

a b c (Å): 2.7993 2.7993 14.8496
angles (deg): 90.00 90.00 90.00
With the nearest neighbours (Å) after each atom.
Space group P4/mmm (No. 123)
Symmetry-distinct sites (fractional):
Be: 0.0000 0.0000 0.0933 (multiplicity 2)  8 Rh 2.42-2.43
Be: 0.0000 0.0000 0.2787 (multiplicity 2)  8 Rh 2.40-2.45
Mo: 0.0000 0.0000 0.5000 (multiplicity 1)  8 Rh 2.71, 4 Mo 2.80
Rh: 0.5000 0.5000 0.0000 (multiplicity 1)  8 Be 2.42
Rh: 0.5000 0.5000 0.1878 (multiplicity 2)  8 Be 2.40-2.43
Rh: 0.5000 0.5000 0.3754 (multiplicity 2)  4 Be 2.45, 4 Mo 2.71

Summary:
The energy of formation from the pure elements is -0.540 eV per atom. The crystal system is tetragonal.

Entry 9:
Here is a geometry-optimized HfGa2Rh2 structure from Alexandria via LeMat-Bulk. Energies are from PBE.

a b c (Å): 3.6161 3.6161 12.7441
angles (deg): 90.00 90.00 90.00
With the nearest neighbours (Å) after each atom.
Space group I4/mmm (No. 139)
Symmetry-distinct sites (fractional):
Hf: 0.0000 0.0000 0.0000 (multiplicity 2)  8 Rh 2.88
Ga: 0.0000 0.5000 0.2500 (multiplicity 4)  4 Ga 2.56, 4 Rh 2.59
Rh: 0.0000 0.0000 0.3952 (multiplicity 4)  4 Ga 2.59, 1 Rh 2.67, 4 Hf 2.88

Summary:
The energy of formation from the pure elements is -0.569 eV per atom. The crystal system is tetragonal.

Entry 10:
Here is a geometry-optimized PuTlGeSe3 structure from Alexandria via LeMat-Bulk. Energies are from PBE.

a b c (Å): 9.5062 4.0629 9.5484
angles (deg): 90.00 102.71 90.00
With the nearest neighbours (Å) after each atom.
Space group P2_1/m (No. 11)
Symmetry-distinct sites (fractional):
Pu: 0.1649 0.2500 0.1451 (multiplicity 2)  6 Se 2.87-2.91
Tl: 0.1963 0.2500 0.6900 (multiplicity 2)  3 Se 3.17-3.55, 1 Ge 3.52
Ge: 0.4546 0.7500 0.3781 (multiplicity 2)  3 Se 2.54-2.64
Se: 0.1460 0.7500 0.9294 (multiplicity 2)  3 Pu 2.87-2.88, 2 Tl 3.17
Se: 0.1853 0.7500 0.3667 (multiplicity 2)  1 Ge 2.54
Se: 0.4752 0.2500 0.2067 (multiplicity 2)  2 Ge 2.64, 1 Pu 2.88

Summary:
The crystal system is monoclinic. Its energy relative to the elements, uncorrected is -0.791 eV per atom.

Entry 11:
Here is a geometry-optimized LiSeI2 structure from Alexandria via LeMat-Bulk. Energies are from PBE.

a b c (Å): 7.9126 7.9126 7.9126
angles (deg): 90.00 90.00 90.00
With the nearest neighbours (Å) after each atom.
Space group Fm-3m (No. 225)
Symmetry-distinct sites (fractional):
Li: 0.0000 0.0000 0.0000 (multiplicity 4)  8 I 3.43
Se: 0.0000 0.0000 0.5000 (multiplicity 4)  8 I 3.43
I: 0.2500 0.2500 0.2500 (multiplicity 8)  4 Se 3.43, 4 Li 3.43

Summary:
The crystal system is cubic. Its energy relative to the elements, uncorrected is 0.061 eV per atom.

Entry 12:
Here is a geometry-optimized K2CrHg structure from Alexandria via LeMat-Bulk. Energies are from PBE.

a b c (Å): 4.5519 4.2701 7.6440
angles (deg): 90.00 90.06 90.00
With the nearest neighbours (Å) after each atom.
Space group P2/m (No. 10)
Symmetry-distinct sites (fractional):
K: 0.0000 0.0000 0.2486 (multiplicity 2)  4 Hg 3.65-3.66, 4 Cr 3.66-3.67, 2 K 3.80-3.84
Cr: 0.5000 0.5000 0.5000 (multiplicity 1)  8 K 3.66-3.67, 2 Hg 3.82
Hg: 0.5000 0.5000 0.0000 (multiplicity 1)  8 K 3.65-3.66, 2 Cr 3.82

Summary:
The energy of formation from the pure elements is 0.511 eV per atom. The crystal system is monoclinic.

Total energy, record by record: -2.207 -8.238 -5.684 -8.735 -3.971 -4.784 -1.942 -6.789 -6.711 -6.086 -2.064 -2.519 eV/atom
Magnetic moment, record by record: 0.9 8.9 1.0 0.8 0.0 0.0 0.0 0.0 0.0 5.0 2.7 5.0 μB/f.u.